# 1
# K2ZnF4

K2ZnF4 after structural relaxation (PBE, OQMD via LeMat-Bulk).

```
28
Lattice="-6.5259 -1.1166 3.5585 0.6476 -5.6028 -0.5703 4.8670 -0.3353 8.8203" Properties=species:S:1:pos:R:3 pbc="T T T"
K -2.7332 -2.5745 8.1006
K -1.6986 -2.0823 4.4407
K 0.9704 -1.4831 1.5849
K -3.1877 -4.9251 2.5028
K -1.9816 -5.5716 10.2236
K 0.6873 -4.9724 7.3678
K 1.7220 -4.4802 3.7079
K 2.1765 -2.1296 9.3058
F -3.8389 -2.1956 3.1231
F -1.0326 -3.1651 2.2417
F -3.6890 -1.0836 5.9615
F -0.5681 -2.2029 6.9089
F 0.9379 -1.7416 4.0873
F -1.3450 -0.4620 2.5168
F -3.3765 -3.7867 5.6864
F 2.8276 -4.8591 8.6855
F 4.3510 -1.7587 8.1311
F 2.6778 -5.9711 5.8470
F 0.3338 -6.5927 9.2917
F -0.4431 -4.8518 4.8996
F 2.3653 -3.2680 6.1222
F -5.3623 -5.2960 3.6774
F -1.9492 -5.3131 7.7212
F 0.0213 -3.8896 9.5669
Zn -2.0544 -5.1317 5.8195
Zn -0.5285 -2.5978 10.8333
Zn 1.0431 -1.9230 5.9890
Zn -0.4827 -4.4569 0.9753
```

Calculated total energy: -4.0844 eV per atom
Volume: 15.3 Å³/atom
Space group: Pnma, No. 62

***

# 2
# LaNd3N2F2

LaNd3N2F2 after structural relaxation (PBE, OQMD via LeMat-Bulk).

```
8
Lattice="3.5607 0.0000 0.0000 -1.7804 3.0837 0.0000 0.0000 0.0000 12.6667" Properties=species:S:1:pos:R:3 pbc="T T T"
La 0.0000 2.0558 1.3633
Nd 1.7804 1.0279 11.2715
Nd 0.0000 2.0558 4.9932
Nd 1.7804 1.0279 7.6899
N 0.0000 0.0000 6.3475
N 0.0000 0.0000 12.5854
F 1.7804 1.0279 3.2644
F 0.0000 2.0558 9.4852
```

Calculated total energy: -6.9306 eV per atom
M_tot: 0.01 μB/cell
Volume: 17.4 Å³/atom
Space group: P3m1, No. 156

***

# 3
# La3NdN2F2

La3NdN2F2 after structural relaxation (PBE, OQMD via LeMat-Bulk).

```
8
Lattice="3.5857 0.0000 0.0000 -1.7928 3.1053 0.0000 0.0000 0.0000 12.8316" Properties=species:S:1:pos:R:3 pbc="T T T"
La 1.7928 1.0351 5.0209
La 1.7928 1.0351 1.3615
La 0.0000 0.0000 7.8232
F 1.7928 1.0351 9.7206
F 0.0000 0.0000 3.1942
N 0.0000 2.0702 6.4261
N 0.0000 2.0702 12.7526
Nd 0.0000 0.0000 11.4430
```

Calculated total energy: -7.0147 eV per atom
M_tot: 0.02 μB/cell
Volume: 17.9 Å³/atom
Space group: P3m1, No. 156

***

# 4
# LaNdNF

LaNdNF after structural relaxation (PBE, OQMD via LeMat-Bulk).

```
8
Lattice="3.5707 0.0000 0.0000 -1.7853 3.0923 0.0000 0.0000 0.0000 12.7548" Properties=species:S:1:pos:R:3 pbc="T T T"
N 0.0000 0.0000 6.3774
N 0.0000 0.0000 0.0000
Nd 0.0000 2.0615 11.4072
Nd 1.7854 1.0308 1.3475
La 1.7854 1.0308 4.9731
La 0.0000 2.0615 7.7816
F 0.0000 2.0615 3.0756
F 1.7854 1.0308 9.6792
```

Calculated total energy: -6.9707 eV per atom
M_tot: 0.00 μB/cell
Volume: 17.6 Å³/atom
Space group: P-3m1, No. 164

***

# 5
# LaNdNF

LaNdNF after structural relaxation (PBE, OQMD via LeMat-Bulk).

```
8
Lattice="3.5747 0.0000 0.0000 -1.7874 3.0958 0.0000 0.0000 0.0000 12.7448" Properties=species:S:1:pos:R:3 pbc="T T T"
F 1.7874 1.0319 6.3724
F 0.0000 0.0000 0.0000
N 0.0000 2.0639 9.4649
N 0.0000 2.0639 3.2800
Nd 0.0000 0.0000 4.5848
Nd 0.0000 0.0000 8.1600
La 1.7874 1.0319 1.8334
La 1.7874 1.0319 10.9114
```

Calculated total energy: -6.9744 eV per atom
M_tot: 0.00 μB/cell
Volume: 17.6 Å³/atom
Space group: P-6m2, No. 187

***

# 6
# LaPr3N2F2

LaPr3N2F2 after structural relaxation (PBE, OQMD via LeMat-Bulk).

```
8
Lattice="3.5804 0.0000 0.0000 -1.7902 3.1008 0.0000 0.0000 0.0000 12.7594" Properties=species:S:1:pos:R:3 pbc="T T T"
F 1.7902 1.0336 3.2440
F 0.0000 0.0000 9.5531
La 0.0000 0.0000 1.3723
N 0.0000 2.0672 12.7308
N 0.0000 2.0672 6.3902
Pr 0.0000 0.0000 5.0132
Pr 1.7902 1.0336 7.7533
Pr 1.7902 1.0336 11.3603
```

Calculated total energy: -6.9194 eV per atom
M_tot: 0.01 μB/cell
Volume: 17.7 Å³/atom
Space group: P3m1, No. 156

***

# 7
# La2NbF8

La2NbF8 after structural relaxation (PBE, OQMD via LeMat-Bulk).

```
11
Lattice="6.3610 2.7897 0.1175 1.8777 2.8356 6.0574 -2.7075 -6.0780 -1.9966" Properties=species:S:1:pos:R:3 pbc="T T T"
F 1.2774 -1.7217 0.2365
F 4.5292 1.4569 4.1482
F 0.7619 1.0604 2.2950
F 0.0522 -2.8302 2.1363
F 7.2002 3.3353 5.3694
F 3.4081 -0.3215 2.6142
F 5.2039 2.1896 1.8358
F -0.3075 -4.9795 -1.9218
La 2.9001 1.9801 2.1736
La 5.3387 3.6452 4.0014
Nb 0.0000 0.0000 0.0000
```

Calculated total energy: -6.5066 eV per atom
M_tot: 3.00 μB/cell
Volume: 14.8 Å³/atom
Space group: I-4, No. 82

***

# 8
# La3NbSe2O4F2

La3NbSe2O4F2 after structural relaxation (PBE, OQMD via LeMat-Bulk).

```
48
Lattice="11.2756 0.0000 0.0000 0.0000 3.9999 0.0000 0.0000 0.0000 18.0067" Properties=species:S:1:pos:R:3 pbc="T T T"
Nb 2.1715 1.0000 14.4929
Nb 3.4664 2.9999 5.4895
Nb 9.1042 2.9999 3.5138
Nb 7.8093 1.0000 12.5171
O 6.2192 1.0000 13.6098
O 3.7231 1.0000 5.7849
O 9.1842 1.0000 13.7404
O 0.5814 1.0000 13.4002
O 10.6942 2.9999 4.6065
O 1.9147 2.9999 14.7883
O 2.0914 2.9999 4.2662
O 3.1919 1.0000 16.2448
O 8.8297 1.0000 10.7651
O 5.0564 2.9999 4.3968
O 9.3609 1.0000 3.2184
O 2.4459 2.9999 7.2415
O 7.7292 2.9999 4.7371
O 8.0838 2.9999 1.7618
O 7.5526 2.9999 12.2217
O 3.5464 1.0000 13.2696
La 10.5190 2.9999 14.4453
La 6.3945 1.0000 5.4419
La 5.5894 2.9999 1.9228
La 3.3177 1.0000 8.4467
La 7.9580 2.9999 9.5600
La 4.8812 2.9999 12.5647
La 0.0484 1.0000 10.9262
La 8.9555 1.0000 0.5566
La 11.2272 2.9999 7.0805
La 2.3201 2.9999 17.4500
La 5.6862 1.0000 16.0838
La 0.7566 1.0000 3.5614
Se 8.0740 2.9999 16.3448
Se 5.7076 1.0000 10.4230
Se 2.4362 2.9999 10.6652
Se 11.2058 2.9999 1.4196
Se 3.2017 1.0000 1.6619
Se 8.8395 1.0000 7.3415
Se 0.0698 1.0000 16.5870
Se 5.5680 2.9999 7.5837
F 4.8570 2.9999 17.5423
F 6.4186 1.0000 0.4644
F 6.3556 1.0000 3.0332
F 10.4948 2.9999 9.4677
F 10.5578 2.9999 12.0365
F 4.9200 2.9999 14.9735
F 0.7808 1.0000 8.5390
F 0.7178 1.0000 5.9702
```

Calculated total energy: -7.6740 eV per atom
M_tot: 0.00 μB/cell
Volume: 16.9 Å³/atom
Space group: Pnma, No. 62

***

# 9
# LaNdS2F2

LaNdS2F2 after structural relaxation (PBE, OQMD via LeMat-Bulk).

```
6
Lattice="3.9432 0.0000 0.0000 0.0000 3.9432 0.0000 0.0000 0.0000 6.9491" Properties=species:S:1:pos:R:3 pbc="T T T"
La 1.9716 1.9716 5.3459
S 0.0000 0.0000 4.4689
S 1.9716 1.9716 2.4374
F 0.0000 1.9716 0.0202
F 1.9716 0.0000 0.0202
Nd 0.0000 0.0000 1.6056
```

Calculated total energy: -6.6649 eV per atom
M_tot: 0.01 μB/cell
Volume: 18.0 Å³/atom
Space group: P4mm, No. 99

***

# 10
# LaNdSe2F2

LaNdSe2F2 after structural relaxation (PBE, OQMD via LeMat-Bulk).

```
6
Lattice="-1.5926 1.2167 3.5107 -2.3860 -3.2628 0.0484 5.0612 -3.6483 3.5604" Properties=species:S:1:pos:R:3 pbc="T T T"
Se 1.7890 -1.2896 1.2585
Se 1.2514 -3.3591 4.0593
La 3.9569 -2.8523 2.7836
F -1.1809 -1.6401 0.0327
F -0.7842 0.5997 1.7638
Nd -0.8777 -1.8243 2.5615
```

Calculated total energy: -6.3386 eV per atom
M_tot: 0.01 μB/cell
Volume: 19.6 Å³/atom
Space group: P4mm, No. 99

***

# 11
# LaPmO2F2

LaPmO2F2 after structural relaxation (PBE, OQMD via LeMat-Bulk).

```
6
Lattice="-0.6293 -2.8745 2.6678 2.8664 1.5319 2.3267 -3.8694 3.2720 2.6128" Properties=species:S:1:pos:R:3 pbc="T T T"
Pm -1.6536 1.6728 4.3692
O -0.5133 2.4119 2.4777
O -2.2826 0.2268 2.6628
F -4.1673 1.8205 3.9354
F -2.4014 4.0085 3.7526
La -1.1037 0.9333 0.7453
```

Calculated total energy: -7.7250 eV per atom
M_tot: 0.00 μB/cell
Volume: 15.1 Å³/atom
Space group: Pmm2, No. 25

***

# 12
# LaZnO2F

LaZnO2F after structural relaxation (PBE, OQMD via LeMat-Bulk).

```
5
Lattice="3.9721 0.0000 0.0000 0.0000 3.9721 0.0000 0.0000 0.0000 4.2849" Properties=species:S:1:pos:R:3 pbc="T T T"
La 1.9861 1.9861 4.2780
F 0.0000 0.0000 3.6125
Zn 0.0000 0.0000 1.6250
O 1.9861 0.0000 1.2784
O 0.0000 1.9861 1.2784
```

Calculated total energy: -6.1937 eV per atom
M_tot: 0.00 μB/cell
Volume: 13.5 Å³/atom
Space group: P4mm, No. 99

***

# 13
# LaPrPF2

LaPrPF2 after structural relaxation (PBE, OQMD via LeMat-Bulk).

```
5
Lattice="-4.0322 0.3239 -0.1439 1.7192 -3.6104 0.6268 -0.1562 1.1247 6.9069" Properties=species:S:1:pos:R:3 pbc="T T T"
F -2.1770 -0.5416 2.8517
F -0.2920 -1.6212 4.5326
Pr -2.2341 -0.1302 5.3778
P -0.1559 1.1226 6.8938
La -0.2354 -2.0286 2.0305
```

Calculated total energy: -6.5792 eV per atom
M_tot: 0.00 μB/cell
Volume: 19.9 Å³/atom
Space group: P3m1, No. 156

***

# 14
# LaPdF3

LaPdF3 after structural relaxation (PBE, OQMD via LeMat-Bulk).

```
10
Lattice="-3.6630 -5.4426 -0.1480 -1.9413 -5.0231 3.7499 -3.9008 3.0660 1.3930" Properties=species:S:1:pos:R:3 pbc="T T T"
Pd -8.2557 -7.9202 4.4991
Pd -6.2723 -6.5051 3.4707
F -1.6879 0.4845 0.6934
F -3.8251 -6.4350 2.3821
F -5.6830 -4.3860 2.9823
F -2.4783 -2.0826 1.3188
F -5.2263 -8.9374 3.2704
F -5.1293 -1.5634 2.4339
La -3.5309 -4.0985 2.0007
La -4.2118 0.5638 1.7997
```

Calculated total energy: -5.7654 eV per atom
M_tot: 0.01 μB/cell
Volume: 13.6 Å³/atom
Space group: Cm, No. 8

***

# 15
# La2PrF8

La2PrF8 after structural relaxation (PBE, OQMD via LeMat-Bulk).

```
11
Lattice="-2.5971 2.5971 6.0610 2.5971 -2.5971 6.0610 2.5971 2.5971 -6.0610" Properties=species:S:1:pos:R:3 pbc="T T T"
F 2.1120 1.3091 4.0560
F -0.6684 1.5225 5.4844
F 3.9061 0.4850 2.0050
F 3.2655 1.0746 -0.5766
F 1.5225 0.6684 6.6376
F 1.0746 1.9286 0.5766
F 1.2880 -0.4851 2.0050
F 3.0821 -1.3091 4.0560
La 0.0000 0.0000 8.1559
La 0.0000 0.0000 3.9661
Pr 0.0000 0.0000 0.0000
```

Calculated total energy: -6.5184 eV per atom
M_tot: 0.98 μB/cell
Volume: 14.9 Å³/atom
Space group: I-4, No. 82

***

# 16
# LaPrS2F2

LaPrS2F2 after structural relaxation (PBE, OQMD via LeMat-Bulk).

```
6
Lattice="3.9608 0.0000 0.0000 0.0000 3.9608 0.0000 0.0000 0.0000 6.9740" Properties=species:S:1:pos:R:3 pbc="T T T"
F 0.0000 1.9804 0.0118
F 1.9804 0.0000 0.0118
La 0.0000 0.0000 5.3630
S 1.9804 1.9804 4.4982
S 0.0000 0.0000 2.4512
Pr 1.9804 1.9804 1.6120
```

Calculated total energy: -6.6678 eV per atom
M_tot: 0.01 μB/cell
Volume: 18.2 Å³/atom
Space group: P4mm, No. 99

***

# 17
# LaPrTe2F2

LaPrTe2F2 after structural relaxation (PBE, OQMD via LeMat-Bulk).

```
6
Lattice="4.2330 0.0000 0.0000 0.0000 4.2330 0.0000 0.0000 0.0000 7.5385" Properties=species:S:1:pos:R:3 pbc="T T T"
F 0.0000 2.1165 7.5365
F 2.1165 0.0000 7.5365
Te 2.1165 2.1165 2.7311
Te 0.0000 0.0000 4.8341
La 0.0000 0.0000 1.4891
Pr 2.1165 2.1165 6.0266
```

Calculated total energy: -5.9409 eV per atom
M_tot: 0.01 μB/cell
Volume: 22.5 Å³/atom
Space group: P4mm, No. 99

***

# 18
# LaPuSe2F2

LaPuSe2F2 after structural relaxation (PBE, OQMD via LeMat-Bulk).

```
6
Lattice="4.0358 0.0000 0.0000 0.0000 4.0358 0.0000 0.0000 0.0000 7.1904" Properties=species:S:1:pos:R:3 pbc="T T T"
F 2.0179 0.0000 7.1830
F 0.0000 2.0179 7.1830
Se 0.0000 0.0000 4.6889
Se 2.0179 2.0179 2.5933
Pu 2.0179 2.0179 5.5597
La 0.0000 0.0000 1.5538
```

Calculated total energy: -7.6905 eV per atom
M_tot: 5.00 μB/cell
Volume: 19.5 Å³/atom
Space group: P4mm, No. 99

***

# 19
# LaSmS2F2

LaSmS2F2 after structural relaxation (PBE, OQMD via LeMat-Bulk).

```
6
Lattice="-3.1676 -0.2757 -2.2882 2.3020 -0.1883 -3.1640 0.1995 -6.9112 0.5565" Properties=species:S:1:pos:R:3 pbc="T T T"
La 0.1535 -5.3201 0.4284
F -1.5828 -0.1723 -1.1413
F 1.1520 -0.1286 -1.5792
S 0.0697 -2.4156 0.1945
S -0.3053 -4.6527 -2.3701
Sm -0.3867 -1.8292 -2.5975
```

Calculated total energy: -6.6540 eV per atom
M_tot: 0.01 μB/cell
Volume: 17.7 Å³/atom
Space group: P4mm, No. 99

***

# 20
# LaTbS2F2

LaTbS2F2 after structural relaxation (PBE, OQMD via LeMat-Bulk).

```
6
Lattice="3.8824 0.0000 0.0000 0.0000 3.8824 0.0000 0.0000 0.0000 6.9000" Properties=species:S:1:pos:R:3 pbc="T T T"
La 0.0000 0.0000 5.3148
Tb 1.9412 1.9412 1.5965
S 0.0000 0.0000 2.3957
S 1.9412 1.9412 4.3855
F 0.0000 1.9412 0.0538
F 1.9412 0.0000 0.0538
```

Calculated total energy: -6.6285 eV per atom
M_tot: 0.00 μB/cell
Volume: 17.3 Å³/atom
Space group: P4mm, No. 99

***

# 21
# LaUS2F2

LaUS2F2 after structural relaxation (PBE, OQMD via LeMat-Bulk).

```
6
Lattice="3.9167 0.0000 0.0000 0.0000 3.9167 0.0000 0.0000 0.0000 6.9872" Properties=species:S:1:pos:R:3 pbc="T T T"
F 0.0000 1.9584 0.0109
F 1.9584 0.0000 0.0109
S 0.0000 0.0000 2.4107
S 1.9584 1.9584 4.4764
La 0.0000 0.0000 5.3563
U 1.9584 1.9584 1.7092
```

Calculated total energy: -7.3913 eV per atom
M_tot: 2.75 μB/cell
Volume: 17.9 Å³/atom
Space group: P4mm, No. 99

***

# 22
# LaSmSe2F2

LaSmSe2F2 after structural relaxation (PBE, OQMD via LeMat-Bulk).

```
6
Lattice="-0.0688 -2.1724 -3.3773 2.2890 -2.7966 1.7522 -5.8866 -3.3806 2.2944" Properties=species:S:1:pos:R:3 pbc="T T T"
F -0.0600 -1.1009 -1.6787
F 1.1188 -1.4130 0.8861
La -3.4952 -5.1293 0.9824
Se -3.7534 -2.1555 1.4629
Se -0.9610 -3.6739 -0.0053
Sm -1.2920 -0.7420 0.5036
```

Calculated total energy: -6.3233 eV per atom
M_tot: 0.01 μB/cell
Volume: 19.3 Å³/atom
Space group: P4mm, No. 99